Entry 1:
Here is a geometry-optimized KCeS3 structure from Alexandria via LeMat-Bulk. Energies are from PBE-GGA.

Output
The magnetization comes out at 0.103 μB per atom. Its distance to the lowest polymorph of the same formula is 0.0 meV per atom. The uncorrected formation energy is -1.415 eV per atom.

Cell: 25.144 4.124 7.160 Å, 90.00 102.45 90.00°
Space group C2/m (No. 12)
Symmetry-distinct sites (fractional):
K  0.091  0.000  0.114 x4
Ce  0.242  0.500  0.741 x4
S  0.005  0.500  0.863 x4
S  0.190  0.000  0.518 x4
S  0.195  0.500  0.059 x4

=====

Entry 2:
Here is a geometry-optimized KCe5S8 structure from Alexandria via LeMat-Bulk. Energies are from PBE-GGA.

Output
The magnetization comes out at 0.359 μB per atom. The uncorrected formation energy is -1.923 eV per atom.

Cell: 8.640 8.640 8.574 Å, 90.00 90.00 90.00°
Space group I-4 (No. 82)
Symmetry-distinct sites (fractional):
K  0.000  0.000  0.000 x2
Ce  0.000  0.500  0.750 x2
Ce  0.130  0.252  0.370 x8
S  0.076  0.182  0.688 x8
S  0.078  0.337  0.051 x8

=====

Entry 3:
Here is a geometry-optimized K2Ce2S5 structure from Alexandria via LeMat-Bulk. Energies are from PBE-GGA.

Output
The magnetization comes out at 0.000 μB per atom. The uncorrected formation energy is -1.643 eV per atom.

Cell: 15.472 7.731 7.741 Å, 90.00 90.00 90.00°
Space group Cmce (No. 64)
Symmetry-distinct sites (fractional):
K  0.205  0.000  0.000 x8
Ce  0.000  0.166  0.334 x8
S  0.000  0.000  0.000 x4
S  0.112  0.144  0.644 x16

=====

Entry 4:
Here is a geometry-optimized KCe4S8 structure from Alexandria via LeMat-Bulk. Energies are from PBE-GGA.

Output
The magnetization comes out at 0.098 μB per atom. The uncorrected formation energy is -1.769 eV per atom.

Cell: 14.337 8.288 10.384 Å, 90.00 132.94 90.00°
Space group C2/m (No. 12)
Symmetry-distinct sites (fractional):
K  0.000  0.000  0.000 x2
Ce  0.000  0.252  0.500 x4
Ce  0.233  0.500  0.467 x4
S  0.007  0.000  0.332 x4
S  0.016  0.500  0.690 x4
S  0.243  0.233  0.320 x8

=====

Entry 5:
Here is a geometry-optimized K3CeS4 structure from Alexandria via LeMat-Bulk. Energies are from PBE-GGA.

Output
The magnetization comes out at 0.131 μB per atom. The uncorrected formation energy is -1.283 eV per atom.

Cell: 9.008 12.600 4.256 Å, 90.00 90.00 90.00°
Space group Cmmm (No. 65)
Symmetry-distinct sites (fractional):
K  0.000  0.000  0.000 x2
K  0.250  0.250  0.500 x4
Ce  0.000  0.500  0.000 x2
S  0.000  0.287  0.000 x4
S  0.204  0.500  0.500 x4

=====

Entry 6:
Here is a geometry-optimized KCeS3 structure from Alexandria via LeMat-Bulk. Energies are from PBE-GGA.

Output
The magnetization comes out at 0.000 μB per atom. Its distance to the lowest polymorph of the same formula is 144.7 meV per atom. The uncorrected formation energy is -1.270 eV per atom.

Cell: 5.357 5.357 5.357 Å, 90.00 90.00 90.00°
Space group Pm-3m (No. 221)
Symmetry-distinct sites (fractional):
K  0.000  0.000  0.000 x1
Ce  0.500  0.500  0.500 x1
S  0.000  0.500  0.500 x3

=====

Entry 7:
Here is a geometry-optimized K3Ce3SbS8 structure from Alexandria via LeMat-Bulk. Energies are from PBE-GGA.

Output
The magnetization comes out at 0.045 μB per atom. The uncorrected formation energy is -1.532 eV per atom.

Cell: 8.3037 8.3037 22.2215 Å, 90.00 90.00 120.00°
Space group R-3m (No. 166, hexagonal axes)
Symmetry-distinct sites (fractional):
K  0.0000  0.5000  0.0000 x9
Ce  0.0000  0.5000  0.5000 x9
Sb  0.0000  0.0000  0.5000 x3
S  0.0000  0.0000  0.2350 x6
S  0.0042  0.5021  0.2319 x18

=====

Entry 8:
Here is a geometry-optimized K2CeSbS4 structure from Alexandria via LeMat-Bulk. Energies are from PBE-GGA.

Output
The magnetization comes out at 0.109 μB per atom. The uncorrected formation energy is -1.226 eV per atom.

Cell: 8.531 8.540 11.980 Å, 90.00 90.00 90.00°
Space group Imma (No. 74)
Symmetry-distinct sites (fractional):
K  0.000  0.000  0.000 x4
K  0.250  0.250  0.250 x4
Ce  0.250  0.250  0.750 x4
Sb  0.000  0.000  0.500 x4
S  0.000  0.028  0.734 x8
S  0.219  0.250  0.513 x8

=====

Entry 9:
Here is a geometry-optimized K2CeSc2S6 structure from Alexandria via LeMat-Bulk. Energies are from PBE-GGA.

Output
The magnetization comes out at 0.000 μB per atom. The uncorrected formation energy is -1.775 eV per atom.

Cell: 6.686 11.672 7.834 Å, 90.00 106.57 90.00°
Space group C2/m (No. 12)
Symmetry-distinct sites (fractional):
K  0.000  0.165  0.000 x4
Ce  0.000  0.000  0.500 x2
Sc  0.000  0.333  0.500 x4
S  0.218  0.500  0.690 x4
S  0.234  0.173  0.690 x8

=====

Entry 10:
Here is a geometry-optimized KCeSc4S8 structure from Alexandria via LeMat-Bulk. Energies are from PBE-GGA.

Output
The magnetization comes out at 0.071 μB per atom. The uncorrected formation energy is -1.747 eV per atom.

Cell: 7.7852 7.7852 20.1788 Å, 90.00 90.00 120.00°
Space group R3m (No. 160, hexagonal axes)
Symmetry-distinct sites (fractional):
K  0.0000  0.0000  0.0000 x3
Ce  0.0000  0.0000  0.3621 x3
Sc  0.0000  0.0000  0.7390 x3
Sc  0.0131  0.5066  0.8676 x9
S  0.0000  0.0000  0.1372 x3
S  0.0000  0.0000  0.6091 x3
S  0.0067  0.5033  0.1218 x9
S  0.1847  0.3694  0.9356 x9

=====

- magnetization of number 2 (KCe5S8)?
  0.359 μB per atom